[1]
# LaSb2Os

A relaxed structure of LaSb2Os (PBE, Alexandria).

```
data_LaSb2Os
_chemical_formula_sum 'La3 Sb6 Os3'
_cell_length_a 3.9722
_cell_length_b 3.9722
_cell_length_c 24.7571
_cell_angle_alpha 90.00
_cell_angle_beta 90.00
_cell_angle_gamma 120.00
_symmetry_space_group_name_H-M 'R 3 m'
_symmetry_Int_Tables_number 160
_symmetry_space_group_name_Hall 'R 3 -2"'
loop_
_atom_site_label
_atom_site_type_symbol
_atom_site_fract_x
_atom_site_fract_y
_atom_site_fract_z
_atom_site_occupancy
La1 La 0.0000 0.0000 0.0000 1
Sb1 Sb 0.0000 0.0000 0.2330 1
Sb2 Sb 0.0000 0.0000 0.4585 1
Os1 Os 0.0000 0.0000 0.7409 1
```

Values from the calculation:
Total energy ... -71.4 eV/cell
Size of the total moment ... 0.000 μB/cell
Formation energy from raw total energies ... 0.15 eV per atom

---

[2]
# PrAl3Co

A relaxed structure of PrAl3Co (PBE, Alexandria).

```
data_PrAl3Co
_chemical_formula_sum 'Pr4 Al12 Co4'
_cell_length_a 8.3009
_cell_length_b 4.1108
_cell_length_c 10.8759
_cell_angle_alpha 90.00
_cell_angle_beta 90.00
_cell_angle_gamma 90.00
_symmetry_space_group_name_H-M 'P n m a'
_symmetry_Int_Tables_number 62
_symmetry_space_group_name_Hall '-P 2ac 2n'
loop_
_atom_site_label
_atom_site_type_symbol
_atom_site_fract_x
_atom_site_fract_y
_atom_site_fract_z
_atom_site_occupancy
Pr1 Pr 0.1868 0.2500 0.0103 1
Al1 Al 0.0495 0.2500 0.5801 1
Al2 Al 0.1169 0.7500 0.7752 1
Al3 Al 0.1434 0.7500 0.2276 1
Co1 Co 0.1100 0.2500 0.3556 1
```

Values from the calculation:
Total energy ... -102.4 eV/cell
Energy relative to the lowest polymorph listed for this composition ... 0 meV per atom
Size of the total moment ... 0.000 μB/cell
Formation enthalpy at 0 K ... -0.50 eV per atom

---

[3]
# BeAgS2N

A relaxed structure of BeAgS2N (PBE, Alexandria).

```
data_BeAgS2N
_chemical_formula_sum 'Be1 Ag1 S2 N1'
_cell_length_a 4.9070
_cell_length_b 4.9070
_cell_length_c 3.0544
_cell_angle_alpha 90.00
_cell_angle_beta 90.00
_cell_angle_gamma 90.00
_symmetry_space_group_name_H-M 'P 4/m m m'
_symmetry_Int_Tables_number 123
_symmetry_space_group_name_Hall '-P 4 2'
loop_
_atom_site_label
_atom_site_type_symbol
_atom_site_fract_x
_atom_site_fract_y
_atom_site_fract_z
_atom_site_occupancy
Be1 Be 0.0000 0.0000 0.0000 1
Ag1 Ag 0.5000 0.5000 0.5000 1
S1 S 0.0000 0.5000 0.0000 1
N1 N 0.0000 0.0000 0.5000 1
```

Values from the calculation:
Total energy ... -20.0 eV/cell
Energy relative to the lowest polymorph listed for this composition ... 184 meV per atom
Size of the total moment ... 0.894 μB/cell
Formation energy from raw total energies ... 0.63 eV per atom